No. 1
Computed, not measured: a relaxed structure of TiReC3 at the GGA-PBE level of DFT.

Results
D(E_F)   0.95 states/eV/atom
Calculated total energy   -40.9 eV for the cell shown
Formation enthalpy at 0 K   1.426 eV/atom
Polymorph energy (0 for the lowest one)   0.000 eV per formula unit

a = 3.9608 Å, b = 3.9608 Å, c = 3.9608 Å
α = 90.00°, β = 90.00°, γ = 90.00°
Last column: nearest neighbours and their distance in Å.
Fractional positions:
C  0.5000  0.0000  0.0000  2 Re 1.98
C  0.0000  0.5000  0.0000  2 Re 1.98
C  0.0000  0.0000  0.5000  2 Re 1.98
Re  0.0000  0.0000  0.0000  6 C 1.98
Ti  0.5000  0.5000  0.5000  12 C 2.80

=====

No. 2
Computed, not measured: a relaxed structure of SrRhPb2 at the GGA-PBE level of DFT.

Results
D(E_F)   0.70 states/eV/atom
Calculated total energy   -32.7 eV for the cell shown
Formation enthalpy at 0 K   0.021 eV/atom

a = 5.1880 Å, b = 5.1880 Å, c = 10.1345 Å
α = 75.17°, β = 75.17°, γ = 90.00°
Last column: nearest neighbours and their distance in Å.
Fractional positions:
Pb  0.7359  0.1250  0.2500  2 Rh 2.79, 2 Pb 2.97
Pb  0.3750  0.2641  0.7500  2 Rh 2.79, 2 Pb 2.97
Pb  0.0141  0.6250  0.2500  2 Rh 2.79, 2 Pb 2.97
Pb  0.8750  0.9859  0.7500  2 Rh 2.79, 2 Pb 2.97
Sr  0.5000  0.5000  0.0000  4 Pb 3.28, 4 Rh 3.67
Sr  0.2500  0.7500  0.5000  4 Pb 3.28, 4 Rh 3.67
Rh  0.0000  0.0000  0.0000  4 Pb 2.79
Rh  0.7500  0.2500  0.5000  4 Pb 2.79

=====

Question: Which of these has the lowest D(E_F)?
Answer: SrRhPb2

=====

Question: Which formula does entry 1 have?
Answer: TiReC3

=====

Question: D(E_F) of number 2 (SrRhPb2)?
Answer: 0.70 states/eV/atom